VASP calculation (PBE+U) on a geometry-optimized RbVP2O7 structure.

Unit cell a=7.6539 b=10.2340 c=8.4032 alpha=90.00 beta=105.95 gamma=90.00
Last column: nearest neighbours and their distance in Å.
Space group P2_1/c (No. 14)
Unique sites:
Rb (0.1875, 0.1844, 0.0527) x4  8 O 2.89-3.23
V (0.2385, 0.6013, 0.2590) x4  6 O 1.99-2.10
P (0.1318, 0.5974, 0.8297) x4  4 O 1.51-1.63
P (0.4352, 0.6323, 0.6875) x4  4 O 1.53-1.64
O (0.0064, 0.0022, 0.7751) x4  1 P 1.53
O (0.0870, 0.7374, 0.7614) x4  1 P 1.55
O (0.1510, 0.5888, 0.0132) x4  1 P 1.51
O (0.3256, 0.6030, 0.5101) x4  1 P 1.53
O (0.3275, 0.5563, 0.8039) x4  2 P 1.63-1.64
O (0.3740, 0.0728, 0.7660) x4  1 P 1.53
O (0.4474, 0.7233, 0.2372) x4  1 P 1.53

Values from the calculation:
Size of the total moment, μB/cell: 8.0
Total DFT energy (no corrections), eV/atom: -7.191
Volume, A^3/atom: 14.384